The following is a GGA-PBE calculation of Ce2P3Ir4Ru after structural relaxation, from Alexandria.

E_form in eV per atom: -0.7830
N(E_F) in states/eV per cell: 8.7
Total moment in μB/f.u.: 0.00

a b c (Å): 4.036 4.036 10.378
angles (deg): 90.00 90.00 90.00
Positions (direct):
Ce 0.000 0.500 0.248
Ce 0.500 0.000 0.752
P 0.000 0.500 0.868
P 0.500 0.000 0.132
P 0.500 0.500 0.500
Ir 0.000 0.000 0.000
Ir 0.000 0.500 0.647
Ir 0.500 0.000 0.353
Ir 0.500 0.500 0.000
Ru 0.000 0.000 0.500